1.
Entry from Alexandria via LeMat-Bulk: Cr2CdFe after structural relaxation (GGA-PBEsol).

Geometry as POSCAR:
```
Cr2CdFe
1.0
-0.476 -2.902 0.871
0.973 0.689 2.826
-5.313 1.323 1.506
Cd Cr Fe
1 2 1
Cartesian
-2.408 -0.445 2.602 Cd
-4.347 1.082 1.232 Cr
-0.966 0.240 0.274 Cr
0.249 -1.107 1.849 Fe
```

Values from the calculation:
The crystal system is tetragonal. The calculation puts the energy of formation at 402 meV/atom. For the theoretical density, the calculation gives 8.46 g cm⁻³.



2.
Entry from Alexandria via LeMat-Bulk: Cr2CdFe after structural relaxation (GGA-PBEsol).

Geometry as POSCAR:
```
Cr2CdFe
1.0
-0.094 -2.589 -0.267
0.861 -1.116 -2.190
8.224 -1.881 2.644
Cd Cr Fe
1 2 1
Cartesian
0.000 0.000 0.000 Cd
2.504 -1.417 0.158 Cr
6.488 -4.169 0.029 Cr
4.496 -2.793 0.094 Fe
```

Values from the calculation:
The crystal system is trigonal. The calculation puts the energy of formation at 500 meV/atom. For the theoretical density, the calculation gives 8.83 g cm⁻³.



3.
Entry from Alexandria via LeMat-Bulk: CrCd2Fe after structural relaxation (GGA-PBEsol).

Geometry as POSCAR:
```
CrCd2Fe
1.0
-3.313 -0.408 -2.199
-0.460 -1.592 4.621
-1.916 2.545 2.415
Cd Cr Fe
2 1 1
Cartesian
0.000 0.000 0.000 Cd
-1.537 -0.262 2.364 Cd
-2.615 1.068 0.108 Cr
-4.152 0.807 2.472 Fe
```

Values from the calculation:
The crystal system is tetragonal. The calculation puts the energy of formation at 593 meV/atom. The value obtained for the offset from the most stable computed form is 0.0643 eV/atom. For the theoretical density, the calculation gives 8.61 g cm⁻³.



4.
Entry from Alexandria via LeMat-Bulk: Cr2CdFeSi after structural relaxation (GGA-PBEsol).

Geometry as POSCAR:
```
Cr2CdFeSi
1.0
4.688 0.000 0.000
0.000 4.840 0.000
0.000 0.000 4.840
Cr Si Fe Cd
2 1 1 1
Cartesian
0.000 0.000 2.420 Cr
0.000 2.420 0.000 Cr
2.344 2.420 2.420 Si
2.344 0.000 0.000 Fe
0.000 0.000 0.000 Cd
```

Values from the calculation:
The crystal system is tetragonal. The formation energy (no corrections) is 1.93 eV per atom. For the theoretical density, the calculation gives 4.54 g cm⁻³.



5.
Entry from Alexandria via LeMat-Bulk: CrCdGa2Pt after structural relaxation (GGA-PBEsol).

Geometry as POSCAR:
```
CrCdGa2Pt
1.0
4.737 0.000 0.000
0.000 4.737 0.000
0.000 0.000 4.978
Cr Ga Pt Cd
1 2 1 1
Cartesian
0.000 0.000 2.489 Cr
0.000 2.368 0.000 Ga
2.368 0.000 0.000 Ga
2.368 2.368 2.489 Pt
0.000 0.000 0.000 Cd
```

Values from the calculation:
The crystal system is tetragonal. The calculation puts the energy of formation at 1241 meV/atom. For the theoretical density, the calculation gives 7.42 g cm⁻³.



6.
Entry from Alexandria via LeMat-Bulk: Cr3CdGe after structural relaxation (GGA-PBEsol).

Geometry as POSCAR:
```
Cr3CdGe
1.0
4.589 0.000 0.000
0.000 4.589 0.000
0.000 0.000 4.589
Cr Ge Cd
3 1 1
Cartesian
0.000 2.295 0.000 Cr
0.000 0.000 2.295 Cr
2.295 0.000 0.000 Cr
0.000 0.000 0.000 Ge
2.295 2.295 2.295 Cd
```

Values from the calculation:
The crystal system is cubic. The calculation puts the energy of formation at 1083 meV/atom. For the theoretical density, the calculation gives 5.86 g cm⁻³.



7.
Entry from Alexandria via LeMat-Bulk: CrCdGe3 after structural relaxation (GGA-PBEsol).

Geometry as POSCAR:
```
CrCdGe3
1.0
5.026 0.000 0.000
0.000 5.026 0.000
0.000 0.000 5.026
Cr Ge Cd
1 3 1
Cartesian
2.513 2.513 2.513 Cr
0.000 2.513 0.000 Ge
0.000 0.000 2.513 Ge
2.513 0.000 0.000 Ge
0.000 0.000 0.000 Cd
```

Values from the calculation:
The crystal system is cubic. The calculation puts the energy of formation at 1242 meV/atom. For the theoretical density, the calculation gives 5.00 g cm⁻³.



8.
Entry from Alexandria via LeMat-Bulk: CrCd3Ge after structural relaxation (GGA-PBEsol).

Geometry as POSCAR:
```
CrCd3Ge
1.0
-1.523 4.594 1.496
-0.342 -1.668 4.771
4.820 1.333 0.812
Cr Ge Cd
1 1 3
Cartesian
1.477 2.130 3.540 Cr
0.000 0.000 0.000 Ge
-0.171 -0.834 2.386 Cd
2.410 0.667 0.406 Cd
-0.761 2.297 0.748 Cd
```

Values from the calculation:
The crystal system is cubic. The calculation puts the energy of formation at 900 meV/atom. For the theoretical density, the calculation gives 5.90 g cm⁻³.



9.
Entry from Alexandria via LeMat-Bulk: CrCd2NiGe after structural relaxation (GGA-PBEsol).

Geometry as POSCAR:
```
CrCd2NiGe
1.0
-0.488 4.086 1.927
-4.093 -1.607 2.369
2.812 -1.481 3.853
Ni Ge Cr Cd
1 1 1 2
Cartesian
-0.885 0.499 4.075 Ni
-0.244 2.043 0.964 Ge
0.000 0.000 0.000 Cr
1.406 -0.741 1.926 Cd
-2.046 -0.803 1.185 Cd
```

Values from the calculation:
The crystal system is tetragonal. The calculation puts the energy of formation at 1149 meV/atom. For the theoretical density, the calculation gives 5.98 g cm⁻³.



10.
Entry from Alexandria via LeMat-Bulk: Zn2CrCdGe after structural relaxation (GGA-PBEsol).

Geometry as POSCAR:
```
Zn2CrCdGe
1.0
-4.323 1.371 -0.838
-0.588 -3.587 -2.839
-1.699 -2.902 4.019
Cr Ge Zn Cd
1 1 2 1
Cartesian
-3.305 -2.559 0.171 Cr
0.000 0.000 0.000 Ge
-0.294 -1.794 -1.419 Zn
-2.161 0.686 -0.419 Zn
-0.850 -1.451 2.009 Cd
```

Values from the calculation:
The crystal system is tetragonal. The calculation puts the energy of formation at 904 meV/atom. For the theoretical density, the calculation gives 5.48 g cm⁻³.



11.
Entry from Alexandria via LeMat-Bulk: YCr2CdH after structural relaxation (GGA-PBEsol).

Geometry as POSCAR:
```
YCr2CdH
1.0
-1.675 -1.958 4.261
-3.737 -2.177 -2.469
3.202 -4.551 -0.832
Y Cr H Cd
1 2 1 1
Cartesian
1.601 -2.276 -0.416 Y
-1.868 -1.089 -1.235 Cr
-0.838 -0.979 2.131 Cr
-1.105 -4.343 0.480 H
0.000 0.000 0.000 Cd
```

Values from the calculation:
The crystal system is tetragonal. The value obtained for the total energy is -0.3466 Ry per atom. For the theoretical density, the calculation gives 3.65 g cm⁻³.



12.
Entry from Alexandria via LeMat-Bulk: HfCrCdTe2 after structural relaxation (GGA-PBEsol).

Geometry as POSCAR:
```
HfCrCdTe2
1.0
-2.713 0.618 3.946
-1.573 -5.140 -0.276
4.166 -1.441 3.089
Cr Te Hf Cd
1 2 1 1
Cartesian
-1.356 0.309 1.973 Cr
2.083 -0.720 1.545 Te
-0.787 -2.570 -0.138 Te
-0.060 -2.981 3.380 Hf
0.000 0.000 0.000 Cd
```

Values from the calculation:
The crystal system is tetragonal. The formation energy (no corrections) is 1.17 eV per atom. For the theoretical density, the calculation gives 7.10 g cm⁻³.



13.
Entry from Alexandria via LeMat-Bulk: CrCd2Hg after structural relaxation (GGA-PBEsol).

Geometry as POSCAR:
```
CrCd2Hg
1.0
3.088 0.000 0.000
0.000 3.088 0.000
0.000 0.000 7.986
Cd Cr Hg
2 1 1
Cartesian
0.000 0.000 0.005 Cd
1.544 1.544 2.143 Cd
0.000 0.000 4.011 Cr
1.544 1.544 5.821 Hg
```

Values from the calculation:
The crystal system is tetragonal. The calculation puts the energy of formation at 281 meV/atom. For the theoretical density, the calculation gives 10.41 g cm⁻³.



14.
Entry from Alexandria via LeMat-Bulk: CrCd2Hg after structural relaxation (GGA-PBEsol).

Geometry as POSCAR:
```
CrCd2Hg
1.0
-2.763 0.243 1.436
-0.508 -3.262 -3.823
1.690 -3.185 3.790
Cd Cr Hg
2 1 1
Cartesian
1.680 -3.169 3.768 Cd
0.334 -3.899 1.301 Cd
-1.047 -4.719 -1.217 Cr
-1.902 -2.336 0.132 Hg
```

Values from the calculation:
The crystal system is monoclinic. The calculation puts the energy of formation at 299 meV/atom. For the theoretical density, the calculation gives 10.30 g cm⁻³.



15.
Entry from Alexandria via LeMat-Bulk: CrCd2Hg after structural relaxation (GGA-PBEsol).

Geometry as POSCAR:
```
CrCd2Hg
1.0
-1.410 -3.695 1.342
0.192 -1.488 -3.898
4.745 1.271 1.986
Cd Cr Hg
2 1 1
Cartesian
1.363 -2.508 1.025 Cd
2.164 -1.405 -1.595 Cd
-0.609 -2.592 -1.278 Cr
0.000 0.000 0.000 Hg
```

Values from the calculation:
The crystal system is tetragonal. The calculation puts the energy of formation at 279 meV/atom. For the theoretical density, the calculation gives 10.33 g cm⁻³.



16.
Entry from Alexandria via LeMat-Bulk: CrCdHg2 after structural relaxation (GGA-PBEsol).

Geometry as POSCAR:
```
CrCdHg2
1.0
-1.173 1.319 -3.791
-2.825 -3.095 -0.202
-1.031 3.533 3.854
Cd Cr Hg
1 1 2
Cartesian
-2.000 -0.887 -1.996 Cd
-2.929 -0.224 0.829 Cr
-5.028 1.755 -0.139 Hg
-2.101 1.981 -0.967 Hg
```

Values from the calculation:
The crystal system is orthorhombic. The calculation puts the energy of formation at 285 meV/atom. For the theoretical density, the calculation gives 12.08 g cm⁻³.



17.
Entry from Alexandria via LeMat-Bulk: CrCd2HgSb after structural relaxation (GGA-PBEsol).

Geometry as POSCAR:
```
CrCd2HgSb
1.0
-0.801 2.543 4.389
-5.077 -0.829 -0.446
0.488 -4.409 2.644
Cr Sb Hg Cd
1 1 1 2
Cartesian
-0.400 1.272 2.195 Cr
-2.695 -1.347 3.294 Sb
0.000 0.000 0.000 Hg
0.244 -2.204 1.322 Cd
-2.539 -0.415 -0.223 Cd
```

Values from the calculation:
The crystal system is tetragonal. The formation energy (no corrections) is 0.81 eV per atom. For the theoretical density, the calculation gives 7.26 g cm⁻³.



18.
Entry from Alexandria via LeMat-Bulk: CrCdI2N after structural relaxation (GGA-PBEsol).

Geometry as POSCAR:
```
CrCdI2N
1.0
4.116 0.000 0.000
0.000 5.911 0.000
0.000 0.000 5.911
I Cr N Cd
2 1 1 1
Cartesian
0.000 0.000 2.955 I
0.000 2.955 0.000 I
2.058 2.955 2.955 Cr
2.058 0.000 0.000 N
0.000 0.000 0.000 Cd
```

Values from the calculation:
The crystal system is tetragonal. The formation energy (no corrections) is 1.03 eV per atom. For the theoretical density, the calculation gives 4.99 g cm⁻³.



19.
Entry from Alexandria via LeMat-Bulk: CrCd2In after structural relaxation (GGA-PBEsol).

Geometry as POSCAR:
```
CrCd2In
1.0
3.111 0.000 0.000
0.000 4.981 0.088
0.000 -1.718 4.960
Cd Cr In
2 1 1
Cartesian
0.000 0.000 0.000 Cd
1.556 2.491 0.044 Cd
1.556 -0.859 2.480 Cr
0.000 1.631 2.524 In
```

Values from the calculation:
The crystal system is monoclinic. The calculation puts the energy of formation at 304 meV/atom. For the theoretical density, the calculation gives 8.41 g cm⁻³.



20.
Entry from Alexandria via LeMat-Bulk: CrCd2In after structural relaxation (GGA-PBEsol).

Geometry as POSCAR:
```
CrCd2In
1.0
3.008 0.000 0.000
0.000 4.654 -0.099
-1.504 -2.198 5.819
Cd Cr In
2 1 1
Cartesian
1.504 2.403 3.362 Cd
0.000 0.053 2.358 Cd
1.504 0.000 0.000 Cr
0.000 2.327 -0.050 In
```

Values from the calculation:
The crystal system is monoclinic. The calculation puts the energy of formation at 280 meV/atom. For the theoretical density, the calculation gives 8.05 g cm⁻³.



21.
Entry from Alexandria via LeMat-Bulk: Cr2CdIn after structural relaxation (GGA-PBEsol).

Geometry as POSCAR:
```
Cr2CdIn
1.0
-1.031 2.833 -0.500
-4.026 -1.093 2.107
4.263 0.469 3.205
Cd Cr In
1 2 1
Cartesian
0.298 2.044 1.630 Cd
-0.913 2.117 4.538 Cr
-1.025 0.216 3.337 Cr
-2.477 0.909 0.922 In
```

Values from the calculation:
The crystal system is orthorhombic. The calculation puts the energy of formation at 400 meV/atom. For the theoretical density, the calculation gives 8.43 g cm⁻³.



22.
Entry from Alexandria via LeMat-Bulk: CrCdInMo2 after structural relaxation (GGA-PBEsol).

Geometry as POSCAR:
```
CrCdInMo2
1.0
4.728 0.000 0.000
0.000 4.932 0.000
0.000 0.000 4.932
Cr Mo Cd In
1 2 1 1
Cartesian
2.364 0.000 0.000 Cr
0.000 0.000 2.466 Mo
0.000 2.466 0.000 Mo
0.000 0.000 0.000 Cd
2.364 2.466 2.466 In
```

Values from the calculation:
The crystal system is tetragonal. The calculation puts the energy of formation at 2102 meV/atom. For the theoretical density, the calculation gives 6.80 g cm⁻³.



23.
Entry from Alexandria via LeMat-Bulk: Cr7Cd3In2S16 after structural relaxation (GGA-PBEsol).

Geometry as POSCAR:
```
Cr7Cd3In2S16
1.0
7.197 0.000 0.000
0.000 7.339 -0.019
0.000 -0.241 10.209
Cr Cd In S
7 3 2 16
Cartesian
3.598 5.315 8.892 Cr
1.825 1.661 7.687 Cr
5.385 5.439 2.498 Cr
5.371 1.661 7.687 Cr
1.812 5.439 2.498 Cr
0.000 3.433 10.176 Cr
3.598 7.216 5.116 Cr
0.000 5.303 6.418 Cd
3.598 1.749 1.306 Cd
0.000 1.780 3.794 Cd
0.000 7.067 10.139 In
3.598 3.583 5.133 In
1.940 5.528 4.882 S
5.566 1.719 10.037 S
5.256 5.528 4.882 S
1.631 1.719 10.037 S
0.000 0.126 7.640 S
3.598 3.889 2.562 S
0.000 3.235 7.801 S
3.598 7.035 2.701 S
5.225 1.599 5.319 S
1.732 5.367 0.069 S
1.971 1.599 5.319 S
5.465 5.367 0.069 S
0.000 6.987 2.472 S
3.598 3.292 7.750 S
0.000 3.858 2.355 S
3.598 -0.023 7.612 S
```

Values from the calculation:
The crystal system is monoclinic. The formation energy (no corrections) is -0.62 eV per atom. For the theoretical density, the calculation gives 4.45 g cm⁻³.



24.
Entry from Alexandria via LeMat-Bulk: CrCd3Ir after structural relaxation (GGA-PBEsol).

Geometry as POSCAR:
```
CrCd3Ir
1.0
-4.242 1.405 -1.947
-2.297 -1.227 4.120
0.698 4.503 1.730
Cr Ir Cd
1 1 3
Cartesian
0.000 0.000 0.000 Cr
-2.921 2.341 1.952 Ir
-1.149 -0.613 2.060 Cd
0.349 2.252 0.865 Cd
-2.121 0.703 -0.973 Cd
```

Values from the calculation:
The crystal system is cubic. The calculation puts the energy of formation at 1664 meV/atom. For the theoretical density, the calculation gives 8.34 g cm⁻³.



25.
Entry from Alexandria via LeMat-Bulk: Cr2CdIr after structural relaxation (GGA-PBEsol).

Geometry as POSCAR:
```
Cr2CdIr
1.0
4.356 0.000 0.000
2.178 3.772 0.000
2.178 1.257 3.557
Cd Cr Ir
1 2 1
Cartesian
4.356 2.515 1.778 Cd
0.000 0.000 0.000 Cr
6.534 3.772 2.667 Cr
2.178 1.257 0.889 Ir
```

Values from the calculation:
The crystal system is cubic. The calculation puts the energy of formation at 372 meV/atom. For the theoretical density, the calculation gives 11.61 g cm⁻³.



26.
Entry from Alexandria via LeMat-Bulk: CrCdMoIr2 after structural relaxation (GGA-PBEsol).

Geometry as POSCAR:
```
CrCdMoIr2
1.0
4.576 0.000 0.000
0.000 4.742 0.000
0.000 0.000 4.742
Cr Mo Ir Cd
1 1 2 1
Cartesian
2.288 0.000 0.000 Cr
2.288 2.371 2.371 Mo
0.000 0.000 2.371 Ir
0.000 2.371 0.000 Ir
0.000 0.000 0.000 Cd
```

Values from the calculation:
The crystal system is tetragonal. The calculation puts the energy of formation at 2445 meV/atom. For the theoretical density, the calculation gives 10.41 g cm⁻³.



27.
Entry from Alexandria via LeMat-Bulk: SrCrCd2Ir after structural relaxation (GGA-PBEsol).

Geometry as POSCAR:
```
SrCrCd2Ir
1.0
-3.931 3.192 -0.108
-1.025 -1.088 5.151
3.223 4.020 1.491
Sr Ir Cr Cd
1 1 1 2
Cartesian
0.000 0.000 0.000 Sr
-0.867 3.062 3.267 Ir
-1.965 1.596 -0.054 Cr
1.611 2.010 0.745 Cd
-0.513 -0.544 2.576 Cd
```

Values from the calculation:
The crystal system is tetragonal. The calculation puts the energy of formation at 2412 meV/atom. For the theoretical density, the calculation gives 6.34 g cm⁻³.



28.
Entry from Alexandria via LeMat-Bulk: KCr2Cd after structural relaxation (GGA-PBEsol).

Geometry as POSCAR:
```
KCr2Cd
1.0
3.082 0.000 0.000
0.000 3.082 0.000
0.000 0.000 8.528
Cd Cr K
1 2 1
Cartesian
0.000 0.000 1.543 Cd
1.541 1.541 8.161 Cr
0.000 0.000 7.186 Cr
1.541 1.541 4.430 K
```

Values from the calculation:
The crystal system is tetragonal. The calculation puts the energy of formation at 605 meV/atom. For the theoretical density, the calculation gives 5.24 g cm⁻³.